# CeHoCuS4 GGA-PBE relaxed
data_CeHoCuS4
_chemical_formula_sum 'Ce4 Ho4 Cu4 S16'
_cell_length_a 7.679
_cell_length_b 7.906
_cell_length_c 10.942
_cell_angle_alpha 90.00
_cell_angle_beta 90.00
_cell_angle_gamma 90.00
_symmetry_space_group_name_H-M 'I m m a'
_symmetry_Int_Tables_number 74
_symmetry_space_group_name_Hall '-I 2b 2'
loop_
_atom_site_label
_atom_site_type_symbol
_atom_site_fract_x
_atom_site_fract_y
_atom_site_fract_z
Ce1 Ce 0.000 0.000 0.000
Ho1 Ho 0.250 0.250 0.250
Cu1 Cu 0.000 0.250 0.628
S1 S 0.000 0.004 0.249
S2 S 0.250 0.250 0.000
# **E_form (uncorrected)**: -1.492 eV per atom
# **Crystal system**: orthorhombic

# Ho7AsI12 GGA-PBE relaxed
data_Ho7AsI12
_chemical_formula_sum 'Ho21 As3 I36'
_cell_length_a 15.6752
_cell_length_b 15.6752
_cell_length_c 10.3267
_cell_angle_alpha 90.00
_cell_angle_beta 90.00
_cell_angle_gamma 120.00
_symmetry_space_group_name_H-M 'R -3'
_symmetry_Int_Tables_number 148
_symmetry_space_group_name_Hall '-R 3'
loop_
_atom_site_label
_atom_site_type_symbol
_atom_site_fract_x
_atom_site_fract_y
_atom_site_fract_z
Ho1 Ho 0.0000 0.0000 0.0000
Ho2 Ho 0.0450 0.1603 0.3526
As1 As 0.0000 0.0000 0.5000
I1 I 0.0228 0.5858 0.1641
I2 I 0.0510 0.1815 0.8359
# **E_form (uncorrected)**: -1.269 eV per atom
# **Crystal system**: trigonal

# RbNa2CdAu GGA-PBE relaxed
data_RbNa2CdAu
_chemical_formula_sum 'Rb1 Na2 Cd1 Au1'
_cell_length_a 5.844
_cell_length_b 5.844
_cell_length_c 5.429
_cell_angle_alpha 90.00
_cell_angle_beta 90.00
_cell_angle_gamma 90.00
_symmetry_space_group_name_H-M 'P 4/m m m'
_symmetry_Int_Tables_number 123
_symmetry_space_group_name_Hall '-P 4 2'
loop_
_atom_site_label
_atom_site_type_symbol
_atom_site_fract_x
_atom_site_fract_y
_atom_site_fract_z
Rb1 Rb 0.000 0.000 0.000
Na1 Na 0.000 0.500 0.500
Cd1 Cd 0.500 0.500 0.500
Au1 Au 0.500 0.500 0.000
# **Crystal system**: tetragonal
# **Formation energy from the elements**: -0.03 eV/atom
# **Polymorph energy (0 for the lowest one)**: 110 meV per atom

# Fe2PbCl GGA-PBE relaxed
data_Fe2PbCl
_chemical_formula_sum 'Fe2 Pb1 Cl1'
_cell_length_a 3.051
_cell_length_b 4.693
_cell_length_c 5.195
_cell_angle_alpha 90.00
_cell_angle_beta 90.00
_cell_angle_gamma 90.00
_symmetry_space_group_name_H-M 'P m m m'
_symmetry_Int_Tables_number 47
loop_
_symmetry_equiv_pos_as_xyz
'x,y,z'
'-x,-y,-z'
'-x,-y,z'
'x,y,-z'
'x,-y,-z'
'-x,y,z'
'-x,y,-z'
'x,-y,z'
loop_
_atom_site_label
_atom_site_type_symbol
_atom_site_fract_x
_atom_site_fract_y
_atom_site_fract_z
Fe1 Fe 0.000 0.000 0.000
Fe2 Fe 0.500 0.000 0.500
Pb1 Pb 0.000 0.500 0.500
Cl1 Cl 0.500 0.500 0.000
# **E_form (uncorrected)**: 0.590 eV per atom
# **Crystal system**: orthorhombic
# **Polymorph energy (0 for the lowest one)**: 526 meV per atom

# SrAg3Sn GGA-PBE relaxed
data_SrAg3Sn
_chemical_formula_sum 'Sr1 Ag3 Sn1'
_cell_length_a 5.066
_cell_length_b 5.081
_cell_length_c 6.018
_cell_angle_alpha 114.83
_cell_angle_beta 111.46
_cell_angle_gamma 93.83
_symmetry_space_group_name_H-M 'P 1'
_symmetry_Int_Tables_number 1
loop_
_symmetry_equiv_pos_as_xyz
'x,y,z'
loop_
_atom_site_label
_atom_site_type_symbol
_atom_site_fract_x
_atom_site_fract_y
_atom_site_fract_z
Sr1 Sr 0.000 0.000 0.000
Ag1 Ag 0.279 0.786 0.490
Ag2 Ag 0.328 0.410 0.731
Ag3 Ag 0.710 0.205 0.490
Sn1 Sn 0.672 0.591 0.270
# **Crystal system**: triclinic
# **Formation energy from the elements**: -0.24 eV/atom
# **Polymorph energy (0 for the lowest one)**: 0 meV per atom

# CdAgO3 GGA-PBE relaxed
data_CdAgO3
_chemical_formula_sum 'Cd1 Ag1 O3'
_cell_length_a 3.994
_cell_length_b 3.994
_cell_length_c 3.994
_cell_angle_alpha 90.00
_cell_angle_beta 90.00
_cell_angle_gamma 90.00
_symmetry_space_group_name_H-M 'P m -3 m'
_symmetry_Int_Tables_number 221
_symmetry_space_group_name_Hall '-P 4 2 3'
loop_
_atom_site_label
_atom_site_type_symbol
_atom_site_fract_x
_atom_site_fract_y
_atom_site_fract_z
Cd1 Cd 0.000 0.000 0.000
Ag1 Ag 0.500 0.500 0.500
O1 O 0.000 0.500 0.500
# **E_form (uncorrected)**: 0.142 eV per atom
# **Crystal system**: cubic

# HfNiMo3 GGA-PBE relaxed
data_HfNiMo3
_chemical_formula_sum 'Hf1 Ni1 Mo3'
_cell_length_a 4.519
_cell_length_b 4.519
_cell_length_c 4.519
_cell_angle_alpha 90.00
_cell_angle_beta 90.00
_cell_angle_gamma 90.00
_symmetry_space_group_name_H-M 'P m -3 m'
_symmetry_Int_Tables_number 221
_symmetry_space_group_name_Hall '-P 4 2 3'
loop_
_atom_site_label
_atom_site_type_symbol
_atom_site_fract_x
_atom_site_fract_y
_atom_site_fract_z
Hf1 Hf 0.000 0.000 0.000
Ni1 Ni 0.500 0.500 0.500
Mo1 Mo 0.000 0.500 0.500
# **Crystal system**: cubic
# **Formation energy from the elements**: 1.03 eV/atom
# **Polymorph energy (0 for the lowest one)**: 0 meV per atom

# ZnInN2 GGA-PBE relaxed
data_ZnInN2
_chemical_formula_sum 'Zn3 In3 N6'
_cell_length_a 3.2982
_cell_length_b 3.2982
_cell_length_c 18.1816
_cell_angle_alpha 90.00
_cell_angle_beta 90.00
_cell_angle_gamma 120.00
_symmetry_space_group_name_H-M 'R -3 m'
_symmetry_Int_Tables_number 166
_symmetry_space_group_name_Hall '-R 3 2"'
loop_
_atom_site_label
_atom_site_type_symbol
_atom_site_fract_x
_atom_site_fract_y
_atom_site_fract_z
Zn1 Zn 0.0000 0.0000 0.0000
In1 In 0.0000 0.0000 0.5000
N1 N 0.0000 0.0000 0.3883
# **E_form (uncorrected)**: 0.959 eV per atom
# **Crystal system**: trigonal